# Li2SmCl5, optimized geometry, DFT PBE-GGA
data_Li2SmCl5
_chemical_formula_sum 'Li4 Sm2 Cl10'
_space_group_name_H-M_alt 'P 1'
_space_group_IT_number 1
_cell_length_a 7.294
_cell_length_b 7.294
_cell_length_c 9.819
_cell_angle_alpha 110.30
_cell_angle_beta 110.30
_cell_angle_gamma 56.29
loop_
_space_group_symop_operation_xyz
'x,y,z'
loop_
_atom_site_label
_atom_site_type_symbol
_atom_site_fract_x
_atom_site_fract_y
_atom_site_fract_z
Li1 Li 0.094 0.155 0.188
Li2 Li 0.155 0.094 0.688
Li3 Li 0.845 0.906 0.312
Li4 Li 0.906 0.845 0.812
Sm1 Sm 0.500 0.500 0.000
Sm2 Sm 0.500 0.500 0.500
Cl1 Cl 0.077 0.759 0.554
Cl2 Cl 0.141 0.451 0.841
Cl3 Cl 0.241 0.923 0.946
Cl4 Cl 0.318 0.682 0.250
Cl5 Cl 0.451 0.141 0.341
Cl6 Cl 0.549 0.859 0.659
Cl7 Cl 0.682 0.318 0.750
Cl8 Cl 0.759 0.077 0.054
Cl9 Cl 0.859 0.549 0.159
Cl10 Cl 0.923 0.241 0.446
# density of states at the Fermi level: 0.00 states/eV/cell
# uncorrected formation energy: -16.11 eV per formula unit
# symmetry: No. 15

***

# MnBe2Cr, optimized geometry, DFT PBE-GGA
data_MnBe2Cr
_chemical_formula_sum 'Mn2 Be4 Cr2'
_space_group_name_H-M_alt 'P 1'
_space_group_IT_number 1
_cell_length_a 2.915
_cell_length_b 3.617
_cell_length_c 7.349
_cell_angle_alpha 90.00
_cell_angle_beta 90.00
_cell_angle_gamma 90.00
loop_
_space_group_symop_operation_xyz
'x,y,z'
loop_
_atom_site_label
_atom_site_type_symbol
_atom_site_fract_x
_atom_site_fract_y
_atom_site_fract_z
Mn1 Mn 0.000 0.000 0.000
Mn2 Mn 0.500 0.500 0.000
Be1 Be 0.000 0.500 0.245
Be2 Be 0.000 0.500 0.755
Be3 Be 0.500 0.000 0.245
Be4 Be 0.500 0.000 0.755
Cr1 Cr 0.000 0.000 0.500
Cr2 Cr 0.500 0.500 0.500
# density of states at the Fermi level: 5.66 states/eV/cell
# symmetry: No. 65
# ΔE to the lowest computed polymorph: 87 meV per atom

***

# Be3ReTe, optimized geometry, DFT PBE-GGA
data_Be3ReTe
_chemical_formula_sum 'Be3 Re1 Te1'
_space_group_name_H-M_alt 'P 1'
_space_group_IT_number 1
_cell_length_a 4.341
_cell_length_b 4.341
_cell_length_c 4.341
_cell_angle_alpha 90.00
_cell_angle_beta 90.00
_cell_angle_gamma 90.00
loop_
_space_group_symop_operation_xyz
'x,y,z'
loop_
_atom_site_label
_atom_site_type_symbol
_atom_site_fract_x
_atom_site_fract_y
_atom_site_fract_z
Be1 Be 0.000 0.000 0.500
Be2 Be 0.000 0.500 0.000
Be3 Be 0.500 0.000 0.000
Re1 Re 0.000 0.000 0.000
Te1 Te 0.500 0.500 0.500
# density of states at the Fermi level: 3.49 states/eV/cell
# uncorrected formation energy: 5.20 eV per formula unit
# symmetry: No. 221
# ΔE to the lowest computed polymorph: 0 meV per atom

***

# OsRuPt, optimized geometry, DFT PBE-GGA
data_OsRuPt
_chemical_formula_sum 'Os1 Ru1 Pt1'
_space_group_name_H-M_alt 'P 1'
_space_group_IT_number 1
_cell_length_a 4.381
_cell_length_b 4.381
_cell_length_c 2.679
_cell_angle_alpha 90.00
_cell_angle_beta 90.00
_cell_angle_gamma 120.00
loop_
_space_group_symop_operation_xyz
'x,y,z'
loop_
_atom_site_label
_atom_site_type_symbol
_atom_site_fract_x
_atom_site_fract_y
_atom_site_fract_z
Os1 Os 0.000 0.000 0.000
Ru1 Ru 0.333 0.667 0.500
Pt1 Pt 0.667 0.333 0.500
# density of states at the Fermi level: 2.85 states/eV/cell
# symmetry: No. 187
# ΔE to the lowest computed polymorph: 324 meV per atom

***

# PuAlGa2, optimized geometry, DFT PBE-GGA
data_PuAlGa2
_chemical_formula_sum 'Pu4 Al4 Ga8'
_space_group_name_H-M_alt 'P 1'
_space_group_IT_number 1
_cell_length_a 6.763
_cell_length_b 6.763
_cell_length_c 6.763
_cell_angle_alpha 90.00
_cell_angle_beta 90.00
_cell_angle_gamma 90.00
loop_
_space_group_symop_operation_xyz
'x,y,z'
loop_
_atom_site_label
_atom_site_type_symbol
_atom_site_fract_x
_atom_site_fract_y
_atom_site_fract_z
Pu1 Pu 0.000 0.000 0.000
Pu2 Pu 0.000 0.500 0.500
Pu3 Pu 0.500 0.000 0.500
Pu4 Pu 0.500 0.500 0.000
Al1 Al 0.000 0.000 0.500
Al2 Al 0.000 0.500 0.000
Al3 Al 0.500 0.000 0.000
Al4 Al 0.500 0.500 0.500
Ga1 Ga 0.250 0.250 0.250
Ga2 Ga 0.250 0.250 0.750
Ga3 Ga 0.250 0.750 0.250
Ga4 Ga 0.250 0.750 0.750
Ga5 Ga 0.750 0.250 0.250
Ga6 Ga 0.750 0.250 0.750
Ga7 Ga 0.750 0.750 0.250
Ga8 Ga 0.750 0.750 0.750
# density of states at the Fermi level: 31.79 states/eV/cell
# symmetry: No. 225
# DFT total energy: -6.2638 eV per atom

***

# Ta2AuCl, optimized geometry, DFT PBE-GGA
data_Ta2AuCl
_chemical_formula_sum 'Ta2 Au1 Cl1'
_space_group_name_H-M_alt 'P 1'
_space_group_IT_number 1
_cell_length_a 4.096
_cell_length_b 4.096
_cell_length_c 4.392
_cell_angle_alpha 90.00
_cell_angle_beta 90.00
_cell_angle_gamma 90.00
loop_
_space_group_symop_operation_xyz
'x,y,z'
loop_
_atom_site_label
_atom_site_type_symbol
_atom_site_fract_x
_atom_site_fract_y
_atom_site_fract_z
Ta1 Ta 0.000 0.500 0.000
Ta2 Ta 0.500 0.000 0.000
Au1 Au 0.000 0.000 0.500
Cl1 Cl 0.500 0.500 0.500
# density of states at the Fermi level: 2.58 states/eV/cell
# uncorrected formation energy: 2.80 eV per formula unit
# symmetry: No. 123
# ΔE to the lowest computed polymorph: 848 meV per atom

***

no.,total magnetic moment (μB/atom)
1,0.0000
2,0.0004
3,0.0000
4,0.0000
5,1.2545
6,0.0000